(1)
Here is a relaxed CaHfTcB2 crystal from Alexandria. Energies are from PBE.

DOS(E_F)	0.956	states/eV per atom
spin magnetization	0.00	μB per formula unit
energy of formation	11.2	eV/f.u.

Geometry as CIF:
```
data_CaHfTcB2
_chemical_formula_sum 'Ca1 Hf1 Tc1 B2'
_symmetry_space_group_name_H-M 'P 4/m m m'
_symmetry_Int_Tables_number 123
_symmetry_space_group_name_Hall '-P 4 2'
_cell_length_a 4.3540
_cell_length_b 4.3540
_cell_length_c 4.4785
_cell_angle_alpha 90.00
_cell_angle_beta 90.00
_cell_angle_gamma 90.00
loop_
_atom_site_label
_atom_site_type_symbol
_atom_site_fract_x
_atom_site_fract_y
_atom_site_fract_z
Ca1 Ca 0.0000 0.0000 0.0000
Hf1 Hf 0.5000 0.5000 0.5000
Tc1 Tc 0.0000 0.0000 0.5000
B1 B 0.0000 0.5000 0.0000
```


(2)
Here is a relaxed Y2ScAg2 crystal from Alexandria. Energies are from PBE.

polymorph energy (0 for the lowest one)	246.7	meV/atom
DOS(E_F)	1.490	states/eV per atom
spin magnetization	0.00	μB per formula unit
energy of formation	0.3	eV/f.u.

Geometry as CIF:
```
data_Y2ScAg2
_chemical_formula_sum 'Y4 Sc2 Ag4'
_symmetry_space_group_name_H-M 'I 4/m m m'
_symmetry_Int_Tables_number 139
_symmetry_space_group_name_Hall '-I 4 2'
_cell_length_a 5.7111
_cell_length_b 5.7111
_cell_length_c 8.3817
_cell_angle_alpha 90.00
_cell_angle_beta 90.00
_cell_angle_gamma 90.00
loop_
_atom_site_label
_atom_site_type_symbol
_atom_site_fract_x
_atom_site_fract_y
_atom_site_fract_z
Y1 Y 0.0000 0.5000 0.2500
Sc1 Sc 0.0000 0.0000 0.0000
Ag1 Ag 0.0000 0.0000 0.3443
```


(3)
Here is a relaxed V4FeGe3 crystal from Alexandria. Energies are from PBE.

DOS(E_F)	0.862	states/eV per atom
spin magnetization	2.06	μB per formula unit
energy of formation	-2.5	eV/f.u.

Geometry as CIF:
```
data_V4FeGe3
_chemical_formula_sum 'V16 Fe4 Ge12'
_symmetry_space_group_name_H-M 'I 4/m c m'
_symmetry_Int_Tables_number 140
_symmetry_space_group_name_Hall '-I 4 2c'
_cell_length_a 9.5030
_cell_length_b 9.5030
_cell_length_c 4.8027
_cell_angle_alpha 90.00
_cell_angle_beta 90.00
_cell_angle_gamma 90.00
loop_
_atom_site_label
_atom_site_type_symbol
_atom_site_fract_x
_atom_site_fract_y
_atom_site_fract_z
V1 V 0.0803 0.2262 0.0000
Fe1 Fe 0.0000 0.5000 0.2500
Ge1 Ge 0.0000 0.0000 0.2500
Ge2 Ge 0.1602 0.3398 0.5000
```


(4)
Here is a relaxed Be2Ru crystal from Alexandria. Energies are from PBE.

polymorph energy (0 for the lowest one)	380.0	meV/atom
DOS(E_F)	0.148	states/eV per atom
spin magnetization	0.00	μB per formula unit
energy of formation	0.1	eV/f.u.

Geometry as CIF:
```
data_Be2Ru
_chemical_formula_sum 'Be2 Ru1'
_symmetry_space_group_name_H-M 'P 4/m m m'
_symmetry_Int_Tables_number 123
_symmetry_space_group_name_Hall '-P 4 2'
_cell_length_a 3.3861
_cell_length_b 3.3861
_cell_length_c 3.0339
_cell_angle_alpha 90.00
_cell_angle_beta 90.00
_cell_angle_gamma 90.00
loop_
_atom_site_label
_atom_site_type_symbol
_atom_site_fract_x
_atom_site_fract_y
_atom_site_fract_z
Be1 Be 0.0000 0.5000 0.0000
Ru1 Ru 0.0000 0.0000 0.5000
```


(5)
Here is a relaxed RbAl2HgBr8 crystal from Alexandria. Energies are from PBE.

DOS(E_F)	0.344	states/eV per atom
spin magnetization	0.83	μB per formula unit
formation energy without anion corrections	-1078	meV/atom

Geometry as CIF:
```
data_RbAl2HgBr8
_chemical_formula_sum 'Rb3 Al6 Hg3 Br24'
_symmetry_space_group_name_H-M 'R -3'
_symmetry_Int_Tables_number 148
_symmetry_space_group_name_Hall '-R 3'
_cell_length_a 7.0727
_cell_length_b 7.0727
_cell_length_c 30.5508
_cell_angle_alpha 90.00
_cell_angle_beta 90.00
_cell_angle_gamma 120.00
loop_
_atom_site_label
_atom_site_type_symbol
_atom_site_fract_x
_atom_site_fract_y
_atom_site_fract_z
Rb1 Rb 0.0000 0.0000 0.0000
Al1 Al 0.0000 0.0000 0.2533
Hg1 Hg 0.0000 0.0000 0.5000
Br1 Br 0.0000 0.0000 0.3293
Br2 Br 0.0055 0.6347 0.4378
```


(6)
Here is a relaxed HfTi2SeN crystal from Alexandria. Energies are from PBE.

DOS(E_F)	1.105	states/eV per atom
spin magnetization	1.32	μB per formula unit
formation energy without anion corrections	819	meV/atom

Geometry as CIF:
```
data_HfTi2SeN
_chemical_formula_sum 'Hf1 Ti2 Se1 N1'
_symmetry_space_group_name_H-M 'P 4/m m m'
_symmetry_Int_Tables_number 123
_symmetry_space_group_name_Hall '-P 4 2'
_cell_length_a 4.8271
_cell_length_b 4.8271
_cell_length_c 3.9452
_cell_angle_alpha 90.00
_cell_angle_beta 90.00
_cell_angle_gamma 90.00
loop_
_atom_site_label
_atom_site_type_symbol
_atom_site_fract_x
_atom_site_fract_y
_atom_site_fract_z
Hf1 Hf 0.0000 0.0000 0.0000
Ti1 Ti 0.0000 0.5000 0.5000
Se1 Se 0.5000 0.5000 0.5000
N1 N 0.5000 0.5000 0.0000
```


(7)
Here is a relaxed PmU2Se4 crystal from Alexandria. Energies are from PBE.

polymorph energy (0 for the lowest one)	0.0	meV/atom
DOS(E_F)	1.791	states/eV per atom
spin magnetization	6.83	μB per formula unit
formation energy without anion corrections	-1330	meV/atom

Geometry as CIF:
```
data_PmU2Se4
_chemical_formula_sum 'Pm4 U8 Se16'
_symmetry_space_group_name_H-M 'I -4 2 d'
_symmetry_Int_Tables_number 122
_symmetry_space_group_name_Hall 'I -4 2bw'
_cell_length_a 8.7243
_cell_length_b 8.7243
_cell_length_c 8.7647
_cell_angle_alpha 90.00
_cell_angle_beta 90.00
_cell_angle_gamma 90.00
loop_
_atom_site_label
_atom_site_type_symbol
_atom_site_fract_x
_atom_site_fract_y
_atom_site_fract_z
Pm1 Pm 0.0000 0.0000 0.0000
U1 U 0.1263 0.7500 0.6250
Se1 Se 0.0777 0.6726 0.9485
```


(8)
Here is a relaxed CsTe3S3 crystal from Alexandria. Energies are from PBE.

DOS(E_F)	0.258	states/eV per atom
spin magnetization	0.00	μB per formula unit
formation energy without anion corrections	-174	meV/atom

Geometry as CIF:
```
data_CsTe3S3
_chemical_formula_sum 'Cs6 Te18 S18'
_symmetry_space_group_name_H-M 'R -3'
_symmetry_Int_Tables_number 148
_symmetry_space_group_name_Hall '-R 3'
_cell_length_a 7.9176
_cell_length_b 7.9176
_cell_length_c 29.6296
_cell_angle_alpha 90.00
_cell_angle_beta 90.00
_cell_angle_gamma 120.00
loop_
_atom_site_label
_atom_site_type_symbol
_atom_site_fract_x
_atom_site_fract_y
_atom_site_fract_z
Cs1 Cs 0.0000 0.0000 0.1560
Te1 Te 0.0032 0.4454 0.6190
S1 S 0.0156 0.5693 0.9183
```


(9)
Here is a relaxed K2U2CuS6 crystal from Alexandria. Energies are from PBE.

DOS(E_F)	1.071	states/eV per atom
spin magnetization	3.00	μB per formula unit
formation energy without anion corrections	-1185	meV/atom

Geometry as CIF:
```
data_K2U2CuS6
_chemical_formula_sum 'K4 U4 Cu2 S12'
_symmetry_space_group_name_H-M 'C 1 2/m 1'
_symmetry_Int_Tables_number 12
_cell_length_a 6.5389
_cell_length_b 12.7242
_cell_length_c 7.7297
_cell_angle_alpha 90.00
_cell_angle_beta 104.64
_cell_angle_gamma 90.00
loop_
_symmetry_equiv_pos_as_xyz
'x,y,z'
'-x,-y,-z'
'-x,y,-z'
'x,-y,z'
'x+1/2,y+1/2,z'
'-x+1/2,-y+1/2,-z'
'-x+1/2,y+1/2,-z'
'x+1/2,-y+1/2,z'
loop_
_atom_site_label
_atom_site_type_symbol
_atom_site_fract_x
_atom_site_fract_y
_atom_site_fract_z
K1 K 0.0000 0.1482 0.0000
U1 U 0.0000 0.3386 0.5000
Cu1 Cu 0.0000 0.0000 0.5000
S1 S 0.2417 0.1939 0.7029
S2 S 0.2451 0.0000 0.3378
```


(10)
Here is a relaxed Sn3OsO crystal from Alexandria. Energies are from PBE.

polymorph energy (0 for the lowest one)	64.6	meV/atom
DOS(E_F)	0.605	states/eV per atom
spin magnetization	0.00	μB per formula unit
formation energy without anion corrections	350	meV/atom

Geometry as CIF:
```
data_Sn3OsO
_chemical_formula_sum 'Sn3 Os1 O1'
_symmetry_space_group_name_H-M 'P m -3 m'
_symmetry_Int_Tables_number 221
_symmetry_space_group_name_Hall '-P 4 2 3'
_cell_length_a 4.5763
_cell_length_b 4.5763
_cell_length_c 4.5763
_cell_angle_alpha 90.00
_cell_angle_beta 90.00
_cell_angle_gamma 90.00
loop_
_atom_site_label
_atom_site_type_symbol
_atom_site_fract_x
_atom_site_fract_y
_atom_site_fract_z
Sn1 Sn 0.0000 0.0000 0.5000
Os1 Os 0.5000 0.5000 0.5000
O1 O 0.0000 0.0000 0.0000
```


(11)
Here is a relaxed Tm2UTl3Se6 crystal from Alexandria. Energies are from PBE.

DOS(E_F)	0.673	states/eV per atom
spin magnetization	3.01	μB per formula unit
formation energy without anion corrections	-1187	meV/atom

Geometry as CIF:
```
data_Tm2UTl3Se6
_chemical_formula_sum 'Tm4 U2 Tl6 Se12'
_symmetry_space_group_name_H-M 'C 1 2/m 1'
_symmetry_Int_Tables_number 12
_cell_length_a 7.2149
_cell_length_b 12.4824
_cell_length_c 8.1723
_cell_angle_alpha 90.00
_cell_angle_beta 107.06
_cell_angle_gamma 90.00
loop_
_symmetry_equiv_pos_as_xyz
'x,y,z'
'-x,-y,-z'
'-x,y,-z'
'x,-y,z'
'x+1/2,y+1/2,z'
'-x+1/2,-y+1/2,-z'
'-x+1/2,y+1/2,-z'
'x+1/2,-y+1/2,z'
loop_
_atom_site_label
_atom_site_type_symbol
_atom_site_fract_x
_atom_site_fract_y
_atom_site_fract_z
Tm1 Tm 0.0000 0.1668 0.0000
U1 U 0.0000 0.5000 0.0000
Tl1 Tl 0.0000 0.0000 0.5000
Tl2 Tl 0.0000 0.3346 0.5000
Se1 Se 0.2281 0.0000 0.2013
Se2 Se 0.2373 0.3304 0.2026
```


(12)
Here is a relaxed BeTeI2Cl crystal from Alexandria. Energies are from PBE.

polymorph energy (0 for the lowest one)	195.7	meV/atom
DOS(E_F)	0.776	states/eV per atom
spin magnetization	1.36	μB per formula unit
formation energy without anion corrections	449	meV/atom

Geometry as CIF:
```
data_BeTeI2Cl
_chemical_formula_sum 'Be1 Te1 I2 Cl1'
_symmetry_space_group_name_H-M 'P 4/m m m'
_symmetry_Int_Tables_number 123
_symmetry_space_group_name_Hall '-P 4 2'
_cell_length_a 7.1308
_cell_length_b 7.1308
_cell_length_c 3.5642
_cell_angle_alpha 90.00
_cell_angle_beta 90.00
_cell_angle_gamma 90.00
loop_
_atom_site_label
_atom_site_type_symbol
_atom_site_fract_x
_atom_site_fract_y
_atom_site_fract_z
Be1 Be 0.0000 0.0000 0.0000
Te1 Te 0.5000 0.5000 0.0000
I1 I 0.0000 0.5000 0.5000
Cl1 Cl 0.0000 0.0000 0.5000
```